Entry from the Alexandria database: Pa3Ti2 after structural relaxation (PBE).

Cell: 8.668 5.452 8.326 Å, 74.73 37.36 67.92°
Element x y z (fractional)
Pa (0.000, 0.000, 0.000)
Pa (0.062, 0.732, 0.608)
Pa (0.250, 0.250, 0.250)
Pa (0.642, 0.652, 0.188)
Pa (0.652, 0.642, 0.518)
Pa (0.732, 0.062, 0.598)
Ti (0.178, 0.408, 0.942)
Ti (0.308, 0.778, 0.072)
Ti (0.408, 0.178, 0.472)
Ti (0.778, 0.308, 0.842)

D(E_F) = 21.626 states/eV/cell
E_tot = -8.59 eV per atom
space-group type = Fdd2 (43)
energy relative to the elements = 0.265 eV/atom

=====

Entry from the Alexandria database: Mg2MoPb2 after structural relaxation (PBE).

Cell: 7.663 7.663 7.663 Å, 146.58 146.58 47.98°
Element x y z (fractional)
Mg (0.096, 0.096, 0.000)
Mg (0.904, 0.904, 0.000)
Mo (0.500, 0.500, 0.000)
Pb (0.250, 0.750, 0.500)
Pb (0.750, 0.250, 0.500)

D(E_F) = 3.874 states/eV/cell
ΔE to the lowest computed polymorph = 264 meV/atom
E_tot = -3.43 eV per atom
space-group type = I4/mmm (139)
energy relative to the elements = 0.862 eV/atom

=====

Q: The highest energy relative to the elements belongs to which entry?
A: Mg2MoPb2

=====

Q: Look up the D(E_F) of the second one.
A: 3.874 states/eV/cell

=====

Q: The highest energy relative to the elements belongs to which entry?
A: Mg2MoPb2